Entry from Alexandria via LeMat-Bulk: an optimized crystal structure of Sm2P3Ir4Rh (PBE-GGA).

Computed properties:
N(E_F): 7.1 states/eV/f.u.
Theoretical density: 12.33 g/cm3
Electronic total energy: -0.5633 Ry per atom

Cell lengths 4.121, 4.121, 10.035 Å; angles 90.00, 90.00, 90.00 degrees
Space group P-4m2 (No. 115)
Unique sites:
1 Sm 0.000 0.500 0.249 x2
2 P 0.000 0.500 0.864 x2
3 P 0.500 0.500 0.500 x1
4 Ir 0.000 0.000 0.000 x1
5 Ir 0.000 0.500 0.637 x2
6 Ir 0.500 0.500 0.000 x1
7 Rh 0.000 0.000 0.500 x1